Here is a geometry-optimized TmLuAgOs structure from Alexandria via LeMat-Bulk. Energies are from PBE-GGA.

Fermi-level density of states = 0.25 states/eV/atom
space-group type = F-43m
mass density = 13.1 Mg/m³
total energy = -24.5 eV/cell

Cell and atoms, written as POSCAR:
```
TmLuAgOs
1.0
0.000 3.440 3.440
3.440 0.000 3.440
3.440 3.440 0.000
Tm Lu Ag Os
1 1 1 1
direct
0.000 0.000 0.000
0.500 0.500 0.500
0.250 0.250 0.250
0.750 0.750 0.750
```